! La2CdGaGe | Alexandria | PBE-GGA | optimized geometry; values from VASP
! Density of states at the Fermi level: 0.961 states/eV/atom
! ρ: 5.63 g cm⁻³
! Space group: P4/mmm, No. 123
! DFT formation energy: -0.18 eV/f.u.
&SYSTEM
  ibrav = 0, nat = 5, ntyp = 4
/
ATOMIC_SPECIES
La 138.91 La.upf
Cd 112.41 Cd.upf
Ga 69.72 Ga.upf
Ge 72.64 Ge.upf
ATOMIC_POSITIONS crystal
La 0.000 0.500 0.000
La 0.500 0.000 0.000
Cd 0.000 0.000 0.500
Ga 0.500 0.500 0.000
Ge 0.500 0.500 0.500
CELL_PARAMETERS angstrom
5.781 0.000 0.000
0.000 5.781 0.000
0.000 0.000 4.700

! MgCdGaGe2 | Alexandria | PBE-GGA | optimized geometry; values from VASP
! Density of states at the Fermi level: 0.588 states/eV/atom
! ρ: 4.56 g cm⁻³
! Space group: P4/mmm, No. 123
! DFT formation energy: 2.36 eV/f.u.
&SYSTEM
  ibrav = 0, nat = 5, ntyp = 4
/
ATOMIC_SPECIES
Mg 24.30 Mg.upf
Cd 112.41 Cd.upf
Ga 69.72 Ga.upf
Ge 72.64 Ge.upf
ATOMIC_POSITIONS crystal
Mg 0.000 0.000 0.000
Cd 0.500 0.500 0.000
Ga 0.500 0.500 0.500
Ge 0.000 0.500 0.500
Ge 0.500 0.000 0.500
CELL_PARAMETERS angstrom
4.977 0.000 0.000
0.000 4.977 0.000
0.000 0.000 5.168

! NaCdGaGe | Alexandria | PBE-GGA | optimized geometry; values from VASP
! Density of states at the Fermi level: 0.470 states/eV/atom
! ρ: 5.45 g cm⁻³
! Space group: F-43m, No. 216
! DFT formation energy: 0.15 eV/f.u.
&SYSTEM
  ibrav = 0, nat = 4, ntyp = 4
/
ATOMIC_SPECIES
Na 22.99 Na.upf
Cd 112.41 Cd.upf
Ga 69.72 Ga.upf
Ge 72.64 Ge.upf
ATOMIC_POSITIONS crystal
Na 0.000 0.000 0.000
Cd 0.500 0.500 0.500
Ga 0.250 0.250 0.250
Ge 0.750 0.750 0.750
CELL_PARAMETERS angstrom
0.000 3.485 3.485
3.485 0.000 3.485
3.485 3.485 0.000

! NpCdGaGe | Alexandria | PBE-GGA | optimized geometry; values from VASP
! Density of states at the Fermi level: 1.965 states/eV/atom
! ρ: 9.78 g cm⁻³
! Space group: F-43m, No. 216
! DFT formation energy: 0.12 eV/f.u.
&SYSTEM
  ibrav = 0, nat = 4, ntyp = 4
/
ATOMIC_SPECIES
Np 237.00 Np.upf
Cd 112.41 Cd.upf
Ga 69.72 Ga.upf
Ge 72.64 Ge.upf
ATOMIC_POSITIONS crystal
Np 0.000 0.000 0.000
Cd 0.500 0.500 0.500
Ga 0.750 0.750 0.750
Ge 0.250 0.250 0.250
CELL_PARAMETERS angstrom
0.000 3.469 3.469
3.469 0.000 3.469
3.469 3.469 0.000

! CdGaGePb | Alexandria | PBE-GGA | optimized geometry; values from VASP
! Density of states at the Fermi level: 0.396 states/eV/atom
! ρ: 8.05 g cm⁻³
! Space group: F-43m, No. 216
! DFT formation energy: 0.69 eV/f.u.
&SYSTEM
  ibrav = 0, nat = 4, ntyp = 4
/
ATOMIC_SPECIES
Cd 112.41 Cd.upf
Ga 69.72 Ga.upf
Ge 72.64 Ge.upf
Pb 207.20 Pb.upf
ATOMIC_POSITIONS crystal
Cd 0.000 0.000 0.000
Ga 0.750 0.750 0.750
Ge 0.250 0.250 0.250
Pb 0.500 0.500 0.500
CELL_PARAMETERS angstrom
0.000 3.625 3.625
3.625 0.000 3.625
3.625 3.625 0.000

! Cd2GaGe2Pd5 | Alexandria | PBE-GGA | optimized geometry; values from VASP
! Density of states at the Fermi level: 0.249 states/eV/atom
! ρ: 9.55 g cm⁻³
! Space group: P4/mbm, No. 127
! DFT formation energy: -3.82 eV/f.u.
&SYSTEM
  ibrav = 0, nat = 20, ntyp = 4
/
ATOMIC_SPECIES
Cd 112.41 Cd.upf
Ga 69.72 Ga.upf
Ge 72.64 Ge.upf
Pd 106.42 Pd.upf
ATOMIC_POSITIONS crystal
Cd 0.173 0.327 0.000
Cd 0.327 0.827 0.000
Cd 0.673 0.173 0.000
Cd 0.827 0.673 0.000
Ga 0.000 0.000 0.000
Ga 0.500 0.500 0.000
Ge 0.140 0.640 0.000
Ge 0.360 0.140 0.000
Ge 0.640 0.860 0.000
Ge 0.860 0.360 0.000
Pd 0.000 0.500 0.500
Pd 0.025 0.800 0.500
Pd 0.200 0.025 0.500
Pd 0.300 0.525 0.500
Pd 0.475 0.300 0.500
Pd 0.500 0.000 0.500
Pd 0.525 0.700 0.500
Pd 0.700 0.475 0.500
Pd 0.800 0.975 0.500
Pd 0.975 0.200 0.500
CELL_PARAMETERS angstrom
10.325 0.000 0.000
0.000 10.325 0.000
0.000 0.000 3.170

! PmCdGaGe | Alexandria | PBE-GGA | optimized geometry; values from VASP
! Density of states at the Fermi level: 0.571 states/eV/atom
! ρ: 7.34 g cm⁻³
! Space group: F-43m, No. 216
! DFT formation energy: -1.06 eV/f.u.
&SYSTEM
  ibrav = 0, nat = 4, ntyp = 4
/
ATOMIC_SPECIES
Pm 145.00 Pm.upf
Cd 112.41 Cd.upf
Ga 69.72 Ga.upf
Ge 72.64 Ge.upf
ATOMIC_POSITIONS crystal
Pm 0.000 0.000 0.000
Cd 0.500 0.500 0.500
Ga 0.250 0.250 0.250
Ge 0.750 0.750 0.750
CELL_PARAMETERS angstrom
0.000 3.562 3.562
3.562 0.000 3.562
3.562 3.562 0.000

! PuCdGaGe | Alexandria | PBE-GGA | optimized geometry; values from VASP
! Density of states at the Fermi level: 2.593 states/eV/atom
! ρ: 9.74 g cm⁻³
! Space group: F-43m, No. 216
! DFT formation energy: -0.69 eV/f.u.
&SYSTEM
  ibrav = 0, nat = 4, ntyp = 4
/
ATOMIC_SPECIES
Pu 244.00 Pu.upf
Cd 112.41 Cd.upf
Ga 69.72 Ga.upf
Ge 72.64 Ge.upf
ATOMIC_POSITIONS crystal
Pu 0.000 0.000 0.000
Cd 0.500 0.500 0.500
Ga 0.750 0.750 0.750
Ge 0.250 0.250 0.250
CELL_PARAMETERS angstrom
0.000 3.490 3.490
3.490 0.000 3.490
3.490 3.490 0.000